A relaxed structure of P2HWO, computed with PBE+U.

Calculated values
For the energy above the most stable polymorph in this dataset, the calculation gives 0.085 eV/atom. The value obtained for the raw total energy is -23.84 eV/cell. As for the crystal system: tetragonal. The magnetic moment is 0.0 μB per formula unit.

a b c (Å): 4.809 4.809 3.836
angles (deg): 90.00 90.00 90.00
Atoms (fractional coordinates):
P 0.000 0.500 0.000
P 0.500 0.000 0.000
H 0.000 0.000 0.500
W 0.500 0.500 0.000
O 0.500 0.500 0.500